Arrangement A

! SrAg4Au2 (PBE, optimized geometry); values from VASP
&SYSTEM
  ibrav = 0, nat = 7, ntyp = 3
/
ATOMIC_SPECIES
Sr 87.62 Sr.upf
Ag 107.87 Ag.upf
Au 196.97 Au.upf
ATOMIC_POSITIONS crystal
Sr 0.0000 0.0000 0.0000
Ag 0.2749 0.5000 0.7749
Ag 0.5000 0.2749 0.7749
Ag 0.5000 0.7251 0.2251
Ag 0.7251 0.5000 0.2251
Au 0.2500 0.7500 0.5000
Au 0.7500 0.2500 0.5000
CELL_PARAMETERS angstrom
-4.2223 4.2223 2.8212
4.2223 -4.2223 2.8212
4.2223 4.2223 -2.8212
! - space-group type = I4/mmm, No. 139

***

Arrangement B

! SrAg4Au2 (PBE, optimized geometry); values from VASP
&SYSTEM
  ibrav = 0, nat = 7, ntyp = 3
/
ATOMIC_SPECIES
Sr 87.62 Sr.upf
Ag 107.87 Ag.upf
Au 196.97 Au.upf
ATOMIC_POSITIONS crystal
Sr 0.0000 0.0000 0.0000
Ag 0.1911 0.8089 0.5000
Ag 0.3091 0.6909 0.0000
Ag 0.6909 0.3091 0.0000
Ag 0.8089 0.1911 0.5000
Au 0.4203 0.5797 0.5000
Au 0.5797 0.4203 0.5000
CELL_PARAMETERS angstrom
2.1159 -8.5217 0.0000
2.1159 8.5217 0.0000
0.0000 0.0000 4.2315
! - space-group type = Cmmm, No. 65

***

Least stable structure: arrangement A

***

Arrangement A

! Sr4AgAu (PBE, optimized geometry); values from VASP
&SYSTEM
  ibrav = 0, nat = 6, ntyp = 3
/
ATOMIC_SPECIES
Sr 87.62 Sr.upf
Ag 107.87 Ag.upf
Au 196.97 Au.upf
ATOMIC_POSITIONS crystal
Sr 0.1251 0.1251 0.1251
Sr 0.1251 0.1251 0.6247
Sr 0.1251 0.6247 0.1251
Sr 0.6247 0.1251 0.1251
Ag 0.7500 0.7500 0.7500
Au 0.5000 0.5000 0.5000
CELL_PARAMETERS angstrom
0.0000 5.0305 5.0305
5.0305 0.0000 5.0305
5.0305 5.0305 0.0000
! - space-group type = F-43m, No. 216

***

Arrangement B

! Sr4AgAu (PBE, optimized geometry); values from VASP
&SYSTEM
  ibrav = 0, nat = 6, ntyp = 3
/
ATOMIC_SPECIES
Sr 87.62 Sr.upf
Ag 107.87 Ag.upf
Au 196.97 Au.upf
ATOMIC_POSITIONS crystal
Sr 0.9998 0.4997 0.2447
Sr 0.0002 0.5003 0.7553
Sr 0.4997 0.9998 0.2447
Sr 0.5003 0.0002 0.7553
Ag 0.0000 0.0000 0.5000
Au 0.5000 0.5000 0.0000
CELL_PARAMETERS angstrom
3.8895 -3.8895 0.0000
3.8895 3.8895 0.0000
-0.0100 0.0000 7.7861
! - space-group type = C2/m, No. 12

***

Least stable structure: arrangement A

***

Arrangement A

! SrZnAgAu (PBE, optimized geometry); values from VASP
&SYSTEM
  ibrav = 0, nat = 4, ntyp = 4
/
ATOMIC_SPECIES
Sr 87.62 Sr.upf
Zn 65.41 Zn.upf
Ag 107.87 Ag.upf
Au 196.97 Au.upf
ATOMIC_POSITIONS crystal
Sr 0.0000 0.0000 0.0000
Zn 0.2500 0.2500 0.2500
Ag 0.5000 0.5000 0.5000
Au 0.7500 0.7500 0.7500
CELL_PARAMETERS angstrom
0.0000 3.5837 3.5837
3.5837 0.0000 3.5837
3.5837 3.5837 0.0000
! - space-group type = F-43m, No. 216

***

Arrangement B

! SrZnAgAu (PBE, optimized geometry); values from VASP
&SYSTEM
  ibrav = 0, nat = 4, ntyp = 4
/
ATOMIC_SPECIES
Sr 87.62 Sr.upf
Zn 65.41 Zn.upf
Ag 107.87 Ag.upf
Au 196.97 Au.upf
ATOMIC_POSITIONS crystal
Sr 0.0000 0.0000 0.0000
Zn 0.5112 0.5112 0.5344
Ag 0.7965 0.7965 0.3911
Au 0.2056 0.2056 0.6175
CELL_PARAMETERS angstrom
3.9898 -2.3139 0.0000
3.9898 2.3139 0.0000
-2.6841 0.0000 5.2862
! - space-group type = Cm, No. 8

***

Least stable structure: arrangement A